(1)
Material: Pm2Ga5Ru3
Method: DFT, PBE
State: relaxed

a b c (Å): 8.6630 8.6630 8.6630
angles (deg): 110.42 82.79 140.95
Fractional coordinates of all 20 atoms:
Pm: 0.1425 0.2283 0.3707
Pm: 0.3575 0.7283 0.0858
Pm: 0.6425 0.2717 0.9142
Pm: 0.8575 0.7717 0.6293
Ga: 0.0490 0.7500 0.2990
Ga: 0.0841 0.6835 0.7677
Ga: 0.2500 0.2500 0.0000
Ga: 0.4159 0.1835 0.5994
Ga: 0.4510 0.7500 0.7010
Ga: 0.5490 0.2500 0.2990
Ga: 0.5841 0.8165 0.4006
Ga: 0.7500 0.7500 0.0000
Ga: 0.9159 0.3165 0.2323
Ga: 0.9510 0.2500 0.7010
Ru: 0.1513 0.9215 0.0728
Ru: 0.2500 0.7500 0.5000
Ru: 0.3487 0.4215 0.7702
Ru: 0.6513 0.5785 0.2298
Ru: 0.7500 0.2500 0.5000
Ru: 0.8487 0.0785 0.9272

## Properties
Crystal system = orthorhombic
E = -115.43 eV/cell
Formation energy = -525.0 meV/atom

(2)
Material: Pm3GaRu
Method: DFT, PBE
State: relaxed

a b c (Å): 9.3459 8.6502 5.8535
angles (deg): 77.60 64.69 37.71
Fractional coordinates of all 10 atoms:
Pm: 0.1963 0.1963 0.8037
Pm: 0.2071 0.5856 0.4144
Pm: 0.4144 0.7929 0.2071
Pm: 0.5856 0.2071 0.7929
Pm: 0.7929 0.4144 0.5856
Pm: 0.8037 0.8037 0.1963
Ga: 0.1906 0.8094 0.8094
Ga: 0.8094 0.1906 0.1906
Ru: 0.2500 0.2500 0.2500
Ru: 0.7500 0.7500 0.7500

## Properties
Crystal system = orthorhombic
E = -56.75 eV/cell
Formation energy = -364.3 meV/atom
Offset from the most stable computed form = 0.00 eV/f.u.

(3)
Material: PmGaRu
Method: DFT, PBE
State: relaxed

a b c (Å): 7.3502 4.6084 7.1330
angles (deg): 90.00 90.00 90.00
Fractional coordinates of all 12 atoms:
Pm: 0.0239 0.2500 0.1937
Pm: 0.4761 0.7500 0.6937
Pm: 0.5239 0.2500 0.3063
Pm: 0.9761 0.7500 0.8063
Ga: 0.1913 0.2500 0.6064
Ga: 0.3087 0.7500 0.1064
Ga: 0.6913 0.2500 0.8936
Ga: 0.8087 0.7500 0.3936
Ru: 0.1585 0.7500 0.4380
Ru: 0.3415 0.2500 0.9380
Ru: 0.6585 0.7500 0.0620
Ru: 0.8415 0.2500 0.5620

## Properties
Crystal system = orthorhombic
E = -74.40 eV/cell
Formation energy = -515.8 meV/atom
Offset from the most stable computed form = 0.00 eV/f.u.

(4)
Material: PmGa6Ru4
Method: DFT, PBE
State: relaxed

a b c (Å): 6.6076 6.6076 6.6076
angles (deg): 120.23 120.23 89.61
Fractional coordinates of all 11 atoms:
Pm: 0.0000 0.0000 0.0000
Ga: 0.0000 0.5000 0.5000
Ga: 0.1054 0.4816 0.0000
Ga: 0.4816 0.1054 0.0000
Ga: 0.5000 0.0000 0.5000
Ga: 0.5184 0.5184 0.6238
Ga: 0.8946 0.8946 0.3762
Ru: 0.2553 0.2553 0.6783
Ru: 0.4231 0.7447 0.0000
Ru: 0.5769 0.5769 0.3217
Ru: 0.7447 0.4231 0.0000

## Properties
Crystal system = tetragonal
E = -62.49 eV/cell
Formation energy = -224.7 meV/atom

(5)
Material: Pm3GaRu
Method: DFT, PBE
State: relaxed

a b c (Å): 7.0760 5.1645 7.5923
angles (deg): 90.00 98.20 90.00
Fractional coordinates of all 10 atoms:
Pm: 0.0000 0.0000 0.0000
Pm: 0.0298 0.5000 0.6781
Pm: 0.2914 0.5000 0.2842
Pm: 0.4805 0.5000 0.8521
Pm: 0.5664 0.0000 0.5240
Pm: 0.7889 0.5000 0.2410
Ga: 0.0815 0.0000 0.4176
Ga: 0.4786 0.0000 0.0803
Ru: 0.2543 0.0000 0.7550
Ru: 0.6465 0.5000 0.5412

## Properties
Crystal system = monoclinic
E = -55.50 eV/cell
Formation energy = -239.2 meV/atom
Offset from the most stable computed form = 0.63 eV/f.u.

(6)
Material: Pm4GaRu
Method: DFT, PBE
State: relaxed

a b c (Å): 8.1569 8.1569 6.3190
angles (deg): 105.54 105.54 113.19
Fractional coordinates of all 12 atoms:
Pm: 0.0600 0.7014 0.9143
Pm: 0.2208 0.3532 0.6878
Pm: 0.2986 0.9400 0.5857
Pm: 0.3532 0.2208 0.1878
Pm: 0.6468 0.7792 0.8122
Pm: 0.7014 0.0600 0.4143
Pm: 0.7792 0.6468 0.3122
Pm: 0.9400 0.2986 0.0857
Ga: 0.3718 0.6282 0.2500
Ga: 0.6282 0.3718 0.7500
Ru: 0.9999 0.0001 0.2500
Ru: 0.0001 0.9999 0.7500

## Properties
Crystal system = monoclinic
E = -66.38 eV/cell
Formation energy = -314.3 meV/atom

> Among the records above, which one has the lowest E?

Pm2Ga5Ru3

> Among the records above, which one has the highest formation energy?

PmGa6Ru4

> The highest E belongs to which entry?

number 5

> Which of these has the highest E?

number 5